Record 1
ZrAlBr3 | GGA-PBE | optimized geometry

Unit cell a=5.226 b=5.226 c=5.226 alpha=90.00 beta=90.00 gamma=90.00
Element x y z (fractional)
Zr  0.500  0.500  0.500
Al  0.000  0.000  0.000
Br  0.000  0.500  0.000
Br  0.000  0.000  0.500
Br  0.500  0.000  0.000

Symmetry = Pm-3m
N(E_F) = 6.75 states/eV/cell
Energy above the lowest structure with this stoichiometry = 2.832 eV/f.u.
E = -3.34 eV per atom

Record 2
ReMo2Os | GGA-PBE | optimized geometry

Unit cell a=9.450 b=9.450 c=9.450 alpha=16.80 beta=16.80 gamma=16.80
Element x y z (fractional)
Mo  0.002  0.002  0.002
Mo  0.247  0.247  0.247
Os  0.499  0.499  0.499
Re  0.753  0.753  0.753

Symmetry = R3m
N(E_F) = 5.84 states/eV/cell
E = -11.11 eV per atom
ΔE_f = 0.223 eV/atom

Record 3
FePt2Au | GGA-PBE | optimized geometry

Unit cell a=4.872 b=4.872 c=4.872 alpha=132.18 beta=132.18 gamma=69.95
Element x y z (fractional)
Au  0.500  0.500  0.000
Fe  0.750  0.250  0.500
Pt  0.000  0.000  0.000
Pt  0.250  0.750  0.500

Symmetry = I-4m2
N(E_F) = 3.04 states/eV/cell
Energy above the lowest structure with this stoichiometry = 0.363 eV/f.u.
E = -6.01 eV per atom
ΔE_f = -0.051 eV/atom

Record 4
Sc2TaCr | GGA-PBE | optimized geometry

Unit cell a=7.526 b=7.526 c=6.019 alpha=51.31 beta=51.31 gamma=90.00
Element x y z (fractional)
Sc  0.593  0.125  0.250
Sc  0.157  0.625  0.250
Sc  0.375  0.407  0.750
Sc  0.875  0.843  0.750
Cr  0.500  0.500  0.000
Cr  0.250  0.750  0.500
Ta  0.000  0.000  0.000
Ta  0.750  0.250  0.500

Symmetry = I-42d
N(E_F) = 6.54 states/eV/cell
Energy above the lowest structure with this stoichiometry = 2.337 eV/f.u.
E = -7.83 eV per atom
ΔE_f = 0.706 eV/atom

Record 5
Tl2Cr | GGA-PBE | optimized geometry

Unit cell a=3.453 b=3.453 c=7.205 alpha=90.00 beta=90.00 gamma=120.00
Element x y z (fractional)
Cr  0.000  0.000  0.000
Tl  0.667  0.333  0.688
Tl  0.333  0.667  0.312

Symmetry = P-3m1
N(E_F) = 1.75 states/eV/cell
Energy above the lowest structure with this stoichiometry = 0.364 eV/f.u.
E = -4.24 eV per atom
ΔE_f = 0.545 eV/atom

Record 6
Y4CdAu5 | GGA-PBE | optimized geometry

Unit cell a=3.578 b=3.578 c=17.797 alpha=90.00 beta=90.00 gamma=90.00
Element x y z (fractional)
Y  0.000  0.000  0.190
Y  0.000  0.000  0.397
Y  0.000  0.000  0.603
Y  0.000  0.000  0.810
Cd  0.000  0.000  0.000
Au  0.500  0.500  0.096
Au  0.500  0.500  0.296
Au  0.500  0.500  0.500
Au  0.500  0.500  0.704
Au  0.500  0.500  0.904

Symmetry = P4/mmm
N(E_F) = 4.38 states/eV/cell
E = -5.07 eV per atom
ΔE_f = -0.758 eV/atom

Record 7
ZnFeIr | GGA-PBE | optimized geometry

Unit cell a=6.881 b=6.645 c=2.670 alpha=83.64 beta=73.68 gamma=22.68
Element x y z (fractional)
Fe  0.000  0.000  0.000
Ir  0.663  0.663  0.337
Zn  0.337  0.337  0.663

Symmetry = Fmm2
N(E_F) = 3.41 states/eV/cell
Energy above the lowest structure with this stoichiometry = 0.377 eV/f.u.
E = -6.16 eV per atom
ΔE_f = 0.043 eV/atom

Record 8
Li2BiSeO6 | GGA-PBE | optimized geometry

Unit cell a=6.000 b=7.496 c=7.496 alpha=105.72 beta=77.80 gamma=77.80
Element x y z (fractional)
Li  0.364  0.755  0.525
Li  0.136  0.475  0.245
Li  0.636  0.245  0.475
Li  0.864  0.525  0.755
Bi  0.250  0.896  0.104
Bi  0.750  0.104  0.896
Se  0.250  0.210  0.790
Se  0.750  0.790  0.210
O  0.191  0.984  0.757
O  0.309  0.243  0.016
O  0.809  0.016  0.243
O  0.691  0.757  0.984
O  0.400  0.897  0.338
O  0.100  0.662  0.103
O  0.600  0.103  0.662
O  0.900  0.338  0.897
O  0.140  0.568  0.546
O  0.360  0.454  0.432
O  0.860  0.432  0.454
O  0.640  0.546  0.568

Symmetry = C2/c
N(E_F) = 4.50 states/eV/cell
E = -5.11 eV per atom